[1]
A PBEsol-optimized structure of BaCa2Sn2. Source: Alexandria, functional meta-GGA SCAN.

## Properties
Calculated density ... 4.9 g/cm3
Total energy ... -268.319 eV per cell
Fermi-level density of states ... 3.737 states/eV/cell
Calculated formation energy ... -3.44 eV per formula unit
Total magnetization ... 0.00 μB per cell

a b c (Å): 3.4778 9.3866 9.3866
angles (deg): 90.00 90.00 90.00
With the nearest neighbours (Å) after each atom.
Element x y z (fractional)
Ca 0.0000 0.3767 0.8767  6 Sn 3.20-3.32, 3 Ca 3.27-3.48
Ca 0.0000 0.1233 0.3767  6 Sn 3.20-3.32, 3 Ca 3.27-3.48
Ca 0.0000 0.8767 0.6233  6 Sn 3.20-3.32, 3 Ca 3.27-3.48
Ca 0.0000 0.6233 0.1233  6 Sn 3.20-3.32, 3 Ca 3.27-3.48
Sn 0.5000 0.3260 0.1740  6 Ca 3.20-3.32, 2 Sn 3.48
Sn 0.5000 0.1740 0.6740  6 Ca 3.20-3.32, 2 Sn 3.48
Sn 0.5000 0.8260 0.3260  6 Ca 3.20-3.32, 2 Sn 3.48
Sn 0.5000 0.6740 0.8260  6 Ca 3.20-3.32, 2 Sn 3.48
Ba 0.0000 0.5000 0.5000  2 Ba 3.48, 4 Ca 3.72, 8 Sn 3.88
Ba 0.0000 0.0000 0.0000  2 Ba 3.48, 4 Ca 3.72, 8 Sn 3.88

[2]
A PBEsol-optimized structure of ReSiPt. Source: Alexandria, functional meta-GGA SCAN.

## Properties
Calculated density ... 13.7 g/cm3
Total energy ... -150.196 eV per cell
Fermi-level density of states ... 3.839 states/eV/cell
Total magnetization ... 0.00 μB per cell
Uncorrected formation energy ... 370 meV/atom

a b c (Å): 4.1280 4.1280 4.1280
angles (deg): 60.00 60.00 60.00
With the nearest neighbours (Å) after each atom.
Element x y z (fractional)
Si 0.5000 0.5000 0.5000  4 Pt 2.53
Pt 0.2500 0.2500 0.2500  4 Re 2.53, 4 Si 2.53
Re 0.0000 0.0000 0.0000  4 Pt 2.53

[3]
A PBEsol-optimized structure of VP4O12. Source: Alexandria, functional meta-GGA SCAN.

## Properties
Calculated density ... 2.5 g/cm3
Total energy ... -347.442 eV per cell
Total magnetization ... 2.00 μB per cell
Uncorrected formation energy ... -2345 meV/atom

a b c (Å): 5.1347 7.2940 13.4684
angles (deg): 90.00 90.00 101.18
With the nearest neighbours (Å) after each atom.
Element x y z (fractional)
O 0.8290 0.0702 0.8684  1 P 1.46
O 0.0406 0.7816 0.8914  2 P 1.59-1.63
O 0.6273 0.9086 0.0861  1 P 1.46
O 0.3727 0.0914 0.5861  1 P 1.46
O 0.6331 0.7484 0.2572  1 P 1.56
O 0.0572 0.4743 0.5181  2 P 1.58
O 0.0325 0.7766 0.1483  2 P 1.58-1.64
O 0.2938 0.5158 0.8901  1 P 1.51
O 0.3669 0.2516 0.7572  1 P 1.56
O 0.7062 0.4842 0.3901  1 P 1.51
O 0.2890 0.5119 0.1477  1 P 1.50
O 0.6432 0.7560 0.7795  1 P 1.55
O 0.2020 0.5432 0.3457  1 P 1.51
O 0.9594 0.2184 0.3914  2 P 1.59-1.63
O 0.3568 0.2440 0.2795  1 P 1.55
O 0.7928 0.4485 0.1898  1 P 1.51
O 0.9240 0.0625 0.2261  2 P 1.59-1.62
O 0.0760 0.9375 0.7261  2 P 1.59-1.62
O 0.7980 0.4568 0.8457  1 P 1.51
O 0.9428 0.5257 0.0181  2 P 1.58
O 0.2072 0.5515 0.6898  1 P 1.51
O 0.1710 0.9298 0.3684  1 P 1.46
O 0.7110 0.4881 0.6477  1 P 1.50
O 0.9675 0.2234 0.6483  2 P 1.58-1.64
P 0.0206 0.5604 0.1313  4 O 1.50-1.58
P 0.8782 0.9012 0.8205  4 O 1.46-1.63
P 0.2206 0.1246 0.6735  3 O 1.46-1.59
P 0.9756 0.4360 0.4059  4 O 1.51-1.59
P 0.1218 0.0988 0.3205  4 O 1.46-1.63
P 0.9794 0.4396 0.6313  4 O 1.50-1.58
P 0.7794 0.8754 0.1735  3 O 1.46-1.59
P 0.0244 0.5640 0.9059  4 O 1.51-1.59
V 0.5020 0.5023 0.7696  6 O 1.83-1.97
V 0.4980 0.4977 0.2696  6 O 1.83-1.97

[4]
A PBEsol-optimized structure of NiMoW2. Source: Alexandria, functional meta-GGA SCAN.

## Properties
Calculated density ... 15.0 g/cm3
Total energy ... -189.367 eV per cell
Fermi-level density of states ... 3.408 states/eV/cell
Calculated formation energy ... 1.07 eV per formula unit
Total magnetization ... 0.00 μB per cell

a b c (Å): 2.6418 4.7088 4.9049
angles (deg): 98.09 90.00 106.29
With the nearest neighbours (Å) after each atom.
Element x y z (fractional)
Mo 0.0000 0.0000 0.5000  2 Mo 2.64, 6 W 2.65-2.86, 4 Ni 2.79
W 0.2361 0.4722 0.2379  3 Ni 2.63-2.81, 6 W 2.64-2.87, 3 Mo 2.65-2.86
W 0.7639 0.5278 0.7621  3 Ni 2.63-2.81, 6 W 2.64-2.87, 3 Mo 2.65-2.86
Ni 0.5000 0.0000 0.0000  6 W 2.63-2.81, 2 Ni 2.64, 4 Mo 2.79